## one
Tb4Pr2Ho | PBE | relaxed

Results
magnetic moment = 0.4 μB per formula unit
density of states at the Fermi level = 20.89 states/eV per cell

CIF file:
```
data_Tb4Pr2Ho
_chemical_formula_sum 'Tb8 Pr4 Ho2'
_symmetry_space_group_name_H-M 'I 4/m m m'
_symmetry_Int_Tables_number 139
_symmetry_space_group_name_Hall '-I 4 2'
_cell_length_a 5.5502
_cell_length_b 5.5502
_cell_length_c 17.3310
_cell_angle_alpha 90.00
_cell_angle_beta 90.00
_cell_angle_gamma 90.00
loop_
_atom_site_label
_atom_site_fract_x
_atom_site_fract_y
_atom_site_fract_z
Tb1 0.0000 0.0000 0.1763
Tb2 0.0000 0.5000 0.0000
Pr1 0.0000 0.0000 0.3760
Ho1 0.0000 0.0000 0.0000
```



## two
Tb4Pr2Ho | PBE | relaxed

Results
magnetic moment = 0.0 μB per formula unit
density of states at the Fermi level = 23.12 states/eV per cell

CIF file:
```
data_Tb4Pr2Ho
_chemical_formula_sum 'Tb8 Pr4 Ho2'
_symmetry_space_group_name_H-M 'P 4/n m m'
_symmetry_Int_Tables_number 129
_cell_length_a 11.4595
_cell_length_b 11.4595
_cell_length_c 3.6441
_cell_angle_alpha 90.00
_cell_angle_beta 90.00
_cell_angle_gamma 90.00
loop_
_symmetry_equiv_pos_as_xyz
'x,y,z'
'-x,-y,-z'
'-y+1/2,x,z'
'y+1/2,-x,-z'
'-x+1/2,-y+1/2,z'
'x+1/2,y+1/2,-z'
'y,-x+1/2,z'
'-y,x+1/2,-z'
'x+1/2,-y,-z'
'-x+1/2,y,z'
'-y,-x,-z'
'y,x,z'
'-x,y+1/2,-z'
'x,-y+1/2,z'
'y+1/2,x+1/2,-z'
'-y+1/2,-x+1/2,z'
loop_
_atom_site_label
_atom_site_fract_x
_atom_site_fract_y
_atom_site_fract_z
Tb1 0.0330 0.7500 0.0036
Pr1 0.0000 0.0000 0.5000
Ho1 0.2500 0.2500 0.4955
```



Computed stability ranking, most favorable first: two, one



## one
Tb3Pr7Ho2 | PBE | relaxed

Results
magnetic moment = 0.0 μB per formula unit
density of states at the Fermi level = 39.04 states/eV per cell

CIF file:
```
data_Tb3Pr7Ho2
_chemical_formula_sum 'Tb6 Pr14 Ho4'
_symmetry_space_group_name_H-M 'C m m m'
_symmetry_Int_Tables_number 65
_symmetry_space_group_name_Hall '-C 2 2'
_cell_length_a 5.8683
_cell_length_b 38.6679
_cell_length_c 3.6484
_cell_angle_alpha 90.00
_cell_angle_beta 90.00
_cell_angle_gamma 90.00
loop_
_atom_site_label
_atom_site_fract_x
_atom_site_fract_y
_atom_site_fract_z
Tb1 0.0000 0.0000 0.0000
Tb2 0.0000 0.1842 0.0000
Pr1 0.0000 0.0935 0.5000
Pr2 0.0000 0.2678 0.5000
Pr3 0.0000 0.4269 0.0000
Pr4 0.0000 0.5000 0.5000
Ho1 0.0000 0.3510 0.5000
```



## two
Tb3Pr7Ho2 | PBE | relaxed

Results
magnetic moment = 0.0 μB per formula unit
density of states at the Fermi level = 18.02 states/eV per cell

CIF file:
```
data_Tb3Pr7Ho2
_chemical_formula_sum 'Tb3 Pr7 Ho2'
_symmetry_space_group_name_H-M 'P 1 2/m 1'
_symmetry_Int_Tables_number 10
_cell_length_a 6.3400
_cell_length_b 5.5971
_cell_length_c 12.3630
_cell_angle_alpha 90.00
_cell_angle_beta 90.63
_cell_angle_gamma 90.00
loop_
_symmetry_equiv_pos_as_xyz
'x,y,z'
'-x,-y,-z'
'-x,y,-z'
'x,-y,z'
loop_
_atom_site_label
_atom_site_fract_x
_atom_site_fract_y
_atom_site_fract_z
Tb1 0.0000 0.0000 0.0000
Tb2 0.4315 0.5000 0.3423
Pr1 0.0555 0.5000 0.8139
Pr2 0.2539 0.0000 0.5468
Pr3 0.4073 0.0000 0.8286
Pr4 0.5000 0.5000 0.0000
Ho1 0.1226 0.0000 0.2765
```



Computed stability ranking, most favorable first: one, two



## one
Tb2Pr12Ho5 | PBE | relaxed

Results
magnetic moment = 0.0 μB per formula unit
density of states at the Fermi level = 51.64 states/eV per cell

CIF file:
```
data_Tb2Pr12Ho5
_chemical_formula_sum 'Tb4 Pr24 Ho10'
_symmetry_space_group_name_H-M 'C 1 2/m 1'
_symmetry_Int_Tables_number 12
_cell_length_a 16.0304
_cell_length_b 9.3811
_cell_length_c 8.8145
_cell_angle_alpha 90.00
_cell_angle_beta 91.87
_cell_angle_gamma 90.00
loop_
_symmetry_equiv_pos_as_xyz
'x,y,z'
'-x,-y,-z'
'-x,y,-z'
'x,-y,z'
'x+1/2,y+1/2,z'
'-x+1/2,-y+1/2,-z'
'-x+1/2,y+1/2,-z'
'x+1/2,-y+1/2,z'
loop_
_atom_site_label
_atom_site_fract_x
_atom_site_fract_y
_atom_site_fract_z
Tb1 0.0000 0.1702 0.0000
Pr1 0.0623 0.0000 0.3426
Pr2 0.0824 0.5000 0.8833
Pr3 0.1284 0.1970 0.6778
Pr4 0.1519 0.3177 0.2366
Ho1 0.0000 0.5000 0.5000
Ho2 0.2021 0.0000 0.0286
Ho3 0.2306 0.5000 0.5674
```



## two
Tb2Pr12Ho5 | PBE | relaxed

Results
magnetic moment = 0.0 μB per formula unit
density of states at the Fermi level = 54.53 states/eV per cell

CIF file:
```
data_Tb2Pr12Ho5
_chemical_formula_sum 'Tb4 Pr24 Ho10'
_symmetry_space_group_name_H-M 'C 1 2/m 1'
_symmetry_Int_Tables_number 12
_cell_length_a 15.2664
_cell_length_b 10.7103
_cell_length_c 8.1568
_cell_angle_alpha 90.00
_cell_angle_beta 93.92
_cell_angle_gamma 90.00
loop_
_symmetry_equiv_pos_as_xyz
'x,y,z'
'-x,-y,-z'
'-x,y,-z'
'x,-y,z'
'x+1/2,y+1/2,z'
'-x+1/2,-y+1/2,-z'
'-x+1/2,y+1/2,-z'
'x+1/2,-y+1/2,z'
loop_
_atom_site_label
_atom_site_fract_x
_atom_site_fract_y
_atom_site_fract_z
Tb1 0.0000 0.2299 0.0000
Pr1 0.0554 0.0000 0.7144
Pr2 0.1066 0.2281 0.3853
Pr3 0.1313 0.5000 0.1069
Pr4 0.1840 0.2767 0.7915
Ho1 0.0000 0.5000 0.5000
Ho2 0.1562 0.0000 0.0977
Ho3 0.2417 0.5000 0.4881
```



Computed stability ranking, most favorable first: one, two